# VAgPdO2, relaxed, DFT PBE+U
data_VAgPdO2
_cell_length_a 4.013
_cell_length_b 4.013
_cell_length_c 4.847
_cell_angle_alpha 90.00
_cell_angle_beta 90.00
_cell_angle_gamma 90.00
_symmetry_space_group_name_H-M 'P 4/m m m'
_symmetry_Int_Tables_number 123
_symmetry_space_group_name_Hall '-P 4 2'
loop_
_atom_site_label
_atom_site_type_symbol
_atom_site_fract_x
_atom_site_fract_y
_atom_site_fract_z
V1 V 0.000 0.000 0.000
Ag1 Ag 0.500 0.500 0.000
Pd1 Pd 0.000 0.000 0.500
O1 O 0.000 0.500 0.500
# offset from the most stable computed form: 1225.5 meV per atom